DFT (PBEsol) results for LaAl2HPb after structural relaxation.

a b c (Å): 5.139 5.139 6.274
angles (deg): 90.00 90.00 90.00
Space group P4/mmm (No. 123)
Asymmetric unit:
La: 0.000 0.000 0.000 x1
Al: 0.000 0.500 0.500 x2
H: 0.500 0.500 0.000 x1
Pb: 0.000 0.000 0.500 x1

Summary:
Magnetic moment ... 0.0 Bohr magnetons per cell
Total energy ... -3.1195 eV per atom
D(E_F) ... 5.681 states/eV/f.u.
V ... 33.13 A^3/atom
Calculated density ... 4020 kg/m3

=====

DFT (PBEsol) results for La2AlSnH after structural relaxation.

a b c (Å): 5.942 5.942 3.578
angles (deg): 90.00 90.00 90.00
Space group P4/mmm (No. 123)
Asymmetric unit:
La: 0.000 0.500 0.000 x2
Al: 0.000 0.000 0.000 x1
Sn: 0.500 0.500 0.500 x1
H: 0.000 0.000 0.500 x1

Summary:
Magnetic moment ... 0.0 Bohr magnetons per cell
Total energy ... -4.4410 eV per atom
D(E_F) ... 4.824 states/eV/f.u.
V ... 25.27 A^3/atom
Calculated density ... 5580 kg/m3

=====

DFT (PBEsol) results for Li3AlH6 after structural relaxation.

a b c (Å): 7.9467 7.9467 9.3600
angles (deg): 90.00 90.00 120.00
Space group R-3 (No. 148, hexagonal axes)
Asymmetric unit:
Li: 0.0440 0.2688 0.2069 x18
Al: 0.0000 0.0000 0.0000 x3
Al: 0.0000 0.0000 0.5000 x3
H: 0.0230 0.1845 0.8868 x18
H: 0.0241 0.1963 0.3997 x18

Summary:
Magnetic moment ... 0.0 Bohr magnetons per cell
Total energy ... -3.2542 eV per atom
D(E_F) ... 0.000 states/eV/f.u.
V ... 8.53 A^3/atom
Calculated density ... 1048 kg/m3

=====

- What is the formula in the first record?
  LaAl2HPb

=====

- The highest V belongs to which entry?
  LaAl2HPb